1.
SCAN LaMo2AsW, PBEsol geometry; density of states at the Fermi level = 5.13 states/eV per cell; ΔE_f = 13.87 eV/f.u.
1.0
4.643 0.000 0.000
0.000 4.643 0.000
0.000 0.000 5.113
Mo As W La
2 1 1 1
Direct
0.000 0.500 0.000
0.500 0.000 0.000
0.000 0.000 0.500
0.500 0.500 0.500
0.000 0.000 0.000



2.
SCAN K2TeRuRh, PBEsol geometry; energy relative to the elements, uncorrected = 0.95 eV/atom; density of states at the Fermi level = 3.39 states/eV per cell
1.0
-1.507 -4.438 1.365
2.488 -2.276 -4.652
4.866 -0.740 2.964
Ru K Te Rh
1 2 1 1
Direct
0.000 0.000 0.000
0.000 0.000 0.500
0.000 0.500 0.000
0.500 0.000 0.000
0.500 0.500 0.500



3.
SCAN Mn2TlCr, PBEsol geometry; density of states at the Fermi level = 2.83 states/eV per cell; energy above the lowest structure with this stoichiometry = 0.000 eV/atom; ΔE_f = 0.48 eV/f.u.
1.0
-3.040 -2.218 -0.044
2.379 -3.262 0.066
0.259 2.764 3.762
Cr Mn Tl
1 2 1
Direct
0.000 0.500 0.000
0.742 0.742 0.484
0.258 0.258 0.516
0.500 0.000 0.000



4.
SCAN CaBi2N, PBEsol geometry; energy relative to the elements, uncorrected = 0.35 eV/atom; density of states at the Fermi level = 5.49 states/eV per cell
1.0
-0.745 -4.224 -4.762
3.040 -2.707 4.950
-3.480 -4.942 2.129
Ca Bi N
2 4 2
Direct
0.000 0.000 0.000
0.750 0.250 0.500
0.226 0.125 0.399
0.524 0.625 0.601
0.875 0.476 0.899
0.375 0.774 0.101
0.500 0.500 0.000
0.250 0.750 0.500



5.
SCAN Ca2CdW, PBEsol geometry; density of states at the Fermi level = 2.19 states/eV per cell; ΔE_f = 2.53 eV/f.u.
1.0
-0.288 2.285 -1.913
-0.335 -1.935 -2.260
-10.200 -0.013 1.522
Ca W Cd
2 1 1
Direct
0.000 0.000 0.958
0.500 0.500 0.286
0.500 0.500 0.730
0.000 0.000 0.525



6.
SCAN CaCoTe, PBEsol geometry; energy relative to the elements, uncorrected = -0.01 eV/atom; density of states at the Fermi level = 5.58 states/eV per cell; energy above the lowest structure with this stoichiometry = 0.519 eV/atom
1.0
4.603 0.000 0.000
2.302 3.986 0.000
2.302 1.329 3.758
Ca Te Co
1 1 1
Direct
0.000 0.000 0.000
0.250 0.250 0.250
0.500 0.500 0.500



7.
SCAN BaPtCl3, PBEsol geometry; energy relative to the elements, uncorrected = -1.36 eV/atom; density of states at the Fermi level = 1.04 states/eV per cell
1.0
4.958 0.000 0.000
0.000 4.958 0.000
0.000 0.000 4.958
Ba Pt Cl
1 1 3
Direct
0.500 0.500 0.500
0.000 0.000 0.000
0.000 0.500 0.000
0.000 0.000 0.500
0.500 0.000 0.000



8.
SCAN CaZn2BW, PBEsol geometry; density of states at the Fermi level = 2.84 states/eV per cell; ΔE_f = 2.31 eV/f.u.
1.0
-0.276 4.211 -0.508
-2.245 0.286 3.598
3.668 0.512 2.248
Zn B Ca W
2 1 1 1
Direct
0.000 0.500 0.000
0.500 0.000 0.000
0.000 0.000 0.000
0.500 0.500 0.500
0.000 0.000 0.500



9.
SCAN LaCuSe3, PBEsol geometry; energy relative to the elements, uncorrected = -0.97 eV/atom; density of states at the Fermi level = 2.88 states/eV per cell; energy above the lowest structure with this stoichiometry = 0.000 eV/atom
1.0
4.773 0.000 0.000
0.000 4.773 0.000
0.000 0.000 4.773
Cu Se La
1 3 1
Direct
0.000 0.000 0.000
0.000 0.500 0.000
0.000 0.000 0.500
0.500 0.000 0.000
0.500 0.500 0.500



10.
SCAN Li2Mn3FeO8, PBEsol geometry; energy relative to the elements, uncorrected = -2.13 eV/atom; density of states at the Fermi level = 6.25 states/eV per cell; energy above the lowest structure with this stoichiometry = 0.037 eV/atom
1.0
5.758 0.055 0.039
2.910 4.969 0.039
2.910 1.687 4.675
Li Mn Fe O
2 3 1 8
Direct
0.880 0.880 0.880
0.502 0.502 0.502
0.993 0.501 0.501
0.501 0.993 0.501
0.501 0.501 0.993
0.120 0.120 0.120
0.738 0.738 0.738
0.748 0.748 0.289
0.748 0.289 0.748
0.289 0.748 0.748
0.719 0.251 0.251
0.251 0.719 0.251
0.251 0.251 0.719
0.258 0.258 0.258



11.
SCAN TcPt3Pb, PBEsol geometry; density of states at the Fermi level = 2.24 states/eV per cell; ΔE_f = 8.46 eV/f.u.
1.0
4.935 0.000 0.000
0.000 4.935 0.000
0.000 0.000 4.935
Pb Tc Pt
1 1 3
Direct
0.000 0.000 0.000
0.500 0.500 0.500
0.000 0.500 0.000
0.000 0.000 0.500
0.500 0.000 0.000



12.
SCAN AlPt2W, PBEsol geometry; density of states at the Fermi level = 2.04 states/eV per cell; ΔE_f = -0.95 eV/f.u.
1.0
-2.416 -1.253 0.867
1.745 -0.490 4.153
-1.715 4.144 1.210
W Pt Al
1 2 1
Direct
0.500 0.500 0.000
0.000 0.000 0.000
0.500 0.000 0.500
0.000 0.500 0.500



13.
SCAN ZrCuRu2, PBEsol geometry; density of states at the Fermi level = 4.10 states/eV per cell; ΔE_f = -0.86 eV/f.u.
1.0
3.809 0.000 0.000
0.000 3.900 0.000
0.000 0.000 3.900
Cu Ru Zr
1 2 1
Direct
0.500 0.000 0.000
0.000 0.000 0.500
0.000 0.500 0.000
0.500 0.500 0.500



14.
SCAN SiNiSe3, PBEsol geometry; energy relative to the elements, uncorrected = 0.79 eV/atom; density of states at the Fermi level = 5.26 states/eV per cell
1.0
4.705 0.000 0.000
0.000 4.705 0.000
0.000 0.000 4.705
Ni Si Se
1 1 3
Direct
0.500 0.500 0.500
0.000 0.000 0.000
0.000 0.500 0.000
0.000 0.000 0.500
0.500 0.000 0.000



15.
SCAN TaTcAu, PBEsol geometry; density of states at the Fermi level = 3.32 states/eV per cell; energy above the lowest structure with this stoichiometry = 0.000 eV/atom; ΔE_f = 0.26 eV/f.u.
1.0
-1.684 0.474 -2.174
2.084 -0.620 -1.749
-1.928 -5.863 2.007
Au Ta Tc
1 1 1
Direct
0.998 0.998 0.996
0.670 0.670 0.340
0.332 0.332 0.664



16.
SCAN LiZnI2Cl, PBEsol geometry; energy relative to the elements, uncorrected = -0.14 eV/atom; density of states at the Fermi level = 4.70 states/eV per cell
1.0
4.334 0.000 0.000
0.000 6.052 0.000
0.000 0.000 6.052
I Zn Li Cl
2 1 1 1
Direct
0.000 0.000 0.500
0.000 0.500 0.000
0.500 0.500 0.500
0.500 0.000 0.000
0.000 0.000 0.000



17.
SCAN Y2MnMo, PBEsol geometry; density of states at the Fermi level = 4.64 states/eV per cell; energy above the lowest structure with this stoichiometry = 0.000 eV/atom; ΔE_f = 0.94 eV/f.u.
1.0
-1.109 1.846 2.243
-2.719 -1.504 -0.106
2.781 -5.439 5.849
Mn Mo Y
1 1 2
Direct
0.000 0.000 0.551
0.500 0.500 0.690
0.000 0.000 0.942
0.500 0.500 0.318



18.
SCAN NaTlRe2, PBEsol geometry; density of states at the Fermi level = 2.88 states/eV per cell; ΔE_f = 6.74 eV/f.u.
1.0
-1.164 4.069 -1.709
-3.020 2.621 2.201
1.381 3.825 2.072
Re Tl Na
2 1 1
Direct
0.250 0.250 0.250
0.750 0.750 0.750
0.500 0.500 0.500
0.000 0.000 0.000



19.
SCAN Zn2Au, PBEsol geometry; density of states at the Fermi level = 0.94 states/eV per cell; ΔE_f = -0.66 eV/f.u.
1.0
-0.898 3.694 1.854
-3.182 0.256 2.773
0.818 0.556 4.112
Zn Au
2 1
Direct
0.750 0.750 0.750
0.250 0.250 0.250
0.000 0.000 0.000



20.
SCAN Sb2RhAu, PBEsol geometry; energy relative to the elements, uncorrected = -0.05 eV/atom; density of states at the Fermi level = 2.14 states/eV per cell
1.0
3.313 0.000 0.000
0.000 3.777 0.000
0.000 0.000 6.623
Au Rh Sb
1 1 2
Direct
0.000 0.000 0.510
0.500 0.500 0.743
0.000 0.000 0.920
0.500 0.500 0.327



no.,spin magnetization (Bohr magnetons per cell)
1,1.42
2,3.44
3,3.67
4,0.00
5,0.03
6,1.01
7,0.00
8,0.00
9,0.00
10,3.67
11,4.56
12,0.00
13,0.00
14,1.78
15,0.00
16,0.00
17,0.00
18,4.02
19,0.00
20,0.00